[1]
Below is an optimized crystal structure of AcTl2GaS4, with properties calculated at the PBE level.

Volume: 881.9 Å³/cell
Formation energy from raw total energies: -839 meV per atom
Size of the total moment: 0.00 μB per cell
Density of states at the Fermi level: 3.861 states/eV/cell
Energy: -140.345 eV for the cell shown

Cell lengths 12.0198, 11.9492, 8.1805 Å; angles 90.00, 131.36, 90.00 degrees
Space group C2/c (No. 15)
Inequivalent atoms, fractional coordinates:
Ac 0.2500 0.2500 0.0000 [4 per cell]
Tl 0.0000 0.0000 0.0000 [4 per cell]
Tl 0.2500 0.2500 0.5000 [4 per cell]
Ga 0.0000 0.5000 0.0000 [4 per cell]
S 0.0045 0.2695 0.5215 [8 per cell]
S 0.1915 0.4972 0.9966 [8 per cell]

=====

[2]
Below is an optimized crystal structure of CaScMo2, with properties calculated at the PBE level.

Volume: 155.8 Å³/cell
Size of the total moment: 0.00 μB per cell
Energy of formation: 0.626 eV per atom
Density of states at the Fermi level: 8.359 states/eV/cell
Energy: -54.979 eV for the cell shown

Cell lengths 3.9921, 3.9921, 9.7737 Å; angles 90.00, 90.00, 90.00 degrees
Space group I4/mmm (No. 139)
Inequivalent atoms, fractional coordinates:
Ca 0.0000 0.0000 0.0000 [2 per cell]
Sc 0.0000 0.0000 0.5000 [2 per cell]
Mo 0.0000 0.5000 0.2500 [4 per cell]

=====

- Number 2 is which compound?
  CaScMo2